[1]
VASP calculation (PBE) on an optimized crystal structure of Ce3Bi2O.

```
Ce3Bi2O
1.0
0.0000 4.9544 8.0986
4.1916 0.0000 8.0986
4.1916 4.9544 0.0000
Ce Bi O
6 4 2
Direct
0.2019 0.2019 0.7981
0.2240 0.5985 0.4015
0.4015 0.7760 0.2240
0.5985 0.2240 0.7760
0.7760 0.4015 0.5985
0.7981 0.7981 0.2019
0.1974 0.8026 0.8026
0.2500 0.2500 0.2500
0.7500 0.7500 0.7500
0.8026 0.1974 0.1974
0.3384 0.3384 0.6616
0.6616 0.6616 0.3384
```

Values from the calculation:
The formation energy (no corrections) comes out at -125.9 kJ per mole of atoms. As for the space-group type: Fmmm (69). The value obtained for the energy above the most stable polymorph in this dataset is 78 meV/atom.


[2]
VASP calculation (PBE) on an optimized crystal structure of CeBiO.

```
CeBiO
1.0
1.7259 -6.3767 0.0000
1.7259 6.3767 0.0000
0.0000 0.0000 6.4084
Ce Bi O
2 2 2
Direct
0.0000 0.0000 0.0000
0.0000 0.0000 0.5000
0.2561 0.7439 0.7500
0.7439 0.2561 0.2500
0.4847 0.5153 0.2500
0.5153 0.4847 0.7500
```

Values from the calculation:
The formation energy (no corrections) comes out at -168.5 kJ per mole of atoms. As for the space-group type: Cmcm (63). The value obtained for the energy above the most stable polymorph in this dataset is 344 meV/atom.


[3]
VASP calculation (PBE) on an optimized crystal structure of Ce2BiO3.

```
Ce2BiO3
1.0
6.1312 0.0000 0.0000
-3.0656 5.3097 0.0000
0.0000 0.0000 3.2581
Ce Bi O
2 1 3
Direct
0.3333 0.6667 0.0000
0.6667 0.3333 0.0000
0.0000 0.0000 0.0000
0.0000 0.5000 0.5000
0.5000 0.0000 0.5000
0.5000 0.5000 0.5000
```

Values from the calculation:
The formation energy (no corrections) comes out at -243.3 kJ per mole of atoms. As for the space-group type: P6/mmm (191).


[4]
VASP calculation (PBE) on an optimized crystal structure of Ce3Bi2O3.

```
Ce3Bi2O3
1.0
8.2783 0.0000 0.0000
-4.1392 7.1692 0.0000
0.0000 0.0000 3.0928
Ce Bi O
3 2 3
Direct
0.0000 0.7593 0.0000
0.2407 0.2407 0.0000
0.7593 0.0000 0.0000
0.3333 0.6667 0.5000
0.6667 0.3333 0.5000
0.0000 0.1869 0.5000
0.1869 0.0000 0.5000
0.8131 0.8131 0.5000
```

Values from the calculation:
The formation energy (no corrections) comes out at -185.6 kJ per mole of atoms. As for the space-group type: P-62m (189).


[5]
VASP calculation (PBE) on an optimized crystal structure of Ce3Bi2O2.

```
Ce3Bi2O2
1.0
8.3236 -2.0630 0.0000
8.3236 2.0630 0.0000
-6.6375 0.0000 10.1556
Ce Bi O
6 4 4
Direct
0.0719 0.0719 0.1683
0.1292 0.1292 0.7681
0.4127 0.4127 0.5470
0.5873 0.5873 0.4530
0.8708 0.8708 0.2319
0.9281 0.9281 0.8317
0.2622 0.2622 0.6454
0.3802 0.3802 0.0178
0.6198 0.6198 0.9822
0.7378 0.7378 0.3546
0.0355 0.0355 0.3278
0.4226 0.4226 0.3572
0.5774 0.5774 0.6428
0.9645 0.9645 0.6722
```

Values from the calculation:
The formation energy (no corrections) comes out at -189.8 kJ per mole of atoms. As for the space-group type: C2/m (12). The value obtained for the energy above the most stable polymorph in this dataset is 0 meV/atom.


[6]
VASP calculation (PBE) on an optimized crystal structure of Ce3Bi2O2.

```
Ce3Bi2O2
1.0
3.5164 0.0000 0.0000
1.7578 6.0061 0.0000
1.7567 1.9561 7.6950
Ce Bi O
3 2 2
Direct
0.0000 0.0000 0.0000
0.3167 0.5809 0.7858
0.6833 0.4191 0.2142
0.1030 0.2037 0.5920
0.8970 0.7963 0.4080
0.3434 0.2720 0.0413
0.6566 0.7280 0.9587
```

Values from the calculation:
The formation energy (no corrections) comes out at -176.4 kJ per mole of atoms. As for the space-group type: P-1 (2). The value obtained for the energy above the most stable polymorph in this dataset is 139 meV/atom.


[7]
VASP calculation (PBE) on an optimized crystal structure of Ce5Bi2PO.

```
Ce5Bi2PO
1.0
4.6221 0.0000 0.0000
0.0000 4.6221 0.0000
0.0000 0.0000 11.5821
Ce Bi P O
5 2 1 1
Direct
0.0000 0.0000 0.0000
0.0000 0.5000 0.5000
0.5000 0.0000 0.5000
0.5000 0.5000 0.2410
0.5000 0.5000 0.7590
0.0000 0.0000 0.2856
0.0000 0.0000 0.7144
0.5000 0.5000 0.0000
0.5000 0.5000 0.5000
```

Values from the calculation:
The formation energy (no corrections) comes out at -116.7 kJ per mole of atoms. As for the space-group type: P4/mmm (123).


[8]
VASP calculation (PBE) on an optimized crystal structure of CeBiP2O8.

```
CeBiP2O8
1.0
5.3696 0.0000 0.0000
-2.6848 4.6502 0.0000
0.0000 0.0000 7.2470
Ce Bi P O
1 1 2 8
Direct
0.0000 0.0000 0.0000
0.0000 0.0000 0.5000
0.3333 0.6667 0.6871
0.6667 0.3333 0.3129
0.1761 0.3522 0.7652
0.1761 0.8239 0.7652
0.3333 0.6667 0.4776
0.3522 0.1761 0.2348
0.6478 0.8239 0.7652
0.6667 0.3333 0.5224
0.8239 0.1761 0.2348
0.8239 0.6478 0.2348
```

Values from the calculation:
The formation energy (no corrections) comes out at -221.9 kJ per mole of atoms. As for the space-group type: P-3m1 (164).


[9]
VASP calculation (PBE) on an optimized crystal structure of CeBiPdO.

```
CeBiPdO
1.0
-1.7093 1.7093 7.3940
1.7093 -1.7093 7.3940
1.7093 1.7093 -7.3940
Ce Bi Pd O
1 1 1 1
Direct
0.0000 0.0000 0.0000
0.2534 0.2534 0.0000
0.6475 0.6475 0.0000
0.4876 0.4876 0.0000
```

Values from the calculation:
The formation energy (no corrections) comes out at -140.1 kJ per mole of atoms. As for the space-group type: I4mm (107).


[10]
VASP calculation (PBE) on an optimized crystal structure of CePmBiO6.

```
CePmBiO6
1.0
5.7772 0.0000 0.0000
-2.8886 5.0032 0.0000
0.0000 0.0000 9.9387
Ce Pm Bi O
2 2 2 12
Direct
0.3333 0.6667 0.2500
0.6667 0.3333 0.7500
0.0000 0.0000 0.0000
0.0000 0.0000 0.5000
0.3333 0.6667 0.7500
0.6667 0.3333 0.2500
0.0171 0.3543 0.6339
0.0171 0.6628 0.8661
0.3372 0.3543 0.8661
0.3372 0.9829 0.6339
0.3543 0.0171 0.1339
0.3543 0.3372 0.3661
0.6457 0.6628 0.6339
0.6457 0.9829 0.8661
0.6628 0.0171 0.3661
0.6628 0.6457 0.1339
0.9829 0.3372 0.1339
0.9829 0.6457 0.3661
```

Values from the calculation:
The formation energy (no corrections) comes out at -223.9 kJ per mole of atoms. As for the space-group type: P-31c (163).


[11]
VASP calculation (PBE) on an optimized crystal structure of CePmBiO2.

```
CePmBiO2
1.0
-2.0085 2.0085 6.6796
2.0085 -2.0085 6.6796
2.0085 2.0085 -6.6796
Ce Pm Bi O
1 1 1 2
Direct
0.0000 0.0000 0.0000
0.3235 0.3235 0.0000
0.6616 0.6616 0.0000
0.4147 0.9147 0.5000
0.9147 0.4147 0.5000
```

Values from the calculation:
The formation energy (no corrections) comes out at -251.8 kJ per mole of atoms. As for the space-group type: I4mm (107).


[12]
VASP calculation (PBE) on an optimized crystal structure of Ce4Pm2Bi3O2.

```
Ce4Pm2Bi3O2
1.0
-2.3669 2.3669 13.3685
2.3669 -2.3669 13.3685
2.3669 2.3669 -13.3685
Ce Pm Bi O
4 2 3 2
Direct
0.0859 0.5859 0.5000
0.4141 0.9141 0.5000
0.5859 0.0859 0.5000
0.9141 0.4141 0.5000
0.1973 0.1973 0.0000
0.8027 0.8027 0.0000
0.3205 0.3205 0.0000
0.5000 0.5000 0.0000
0.6795 0.6795 0.0000
0.1019 0.1019 0.0000
0.8981 0.8981 0.0000
```

Values from the calculation:
The formation energy (no corrections) comes out at -139.9 kJ per mole of atoms. As for the space-group type: I4/mmm (139).


[13]
VASP calculation (PBE) on an optimized crystal structure of CePrBiO2.

```
CePrBiO2
1.0
-2.0228 2.0228 6.7318
2.0228 -2.0228 6.7318
2.0228 2.0228 -6.7318
Ce Pr Bi O
1 1 1 2
Direct
0.0000 0.0000 0.0000
0.6778 0.6778 0.0000
0.3395 0.3395 0.0000
0.0828 0.5828 0.5000
0.5828 0.0828 0.5000
```

Values from the calculation:
The formation energy (no corrections) comes out at -249.2 kJ per mole of atoms. As for the space-group type: I4mm (107).


[14]
VASP calculation (PBE) on an optimized crystal structure of CePr2Bi2O2.

```
CePr2Bi2O2
1.0
-2.2502 2.2502 8.5505
2.2502 -2.2502 8.5505
2.2502 2.2502 -8.5505
Ce Pr Bi O
1 2 2 2
Direct
0.0000 0.0000 0.0000
0.3831 0.3831 0.0000
0.6169 0.6169 0.0000
0.1886 0.1886 0.0000
0.8114 0.8114 0.0000
0.0000 0.5000 0.5000
0.5000 0.0000 0.5000
```

Values from the calculation:
The formation energy (no corrections) comes out at -173.7 kJ per mole of atoms. As for the space-group type: I4/mmm (139).


[15]
VASP calculation (PBE) on an optimized crystal structure of Ce4Pr2Bi3O2.

```
Ce4Pr2Bi3O2
1.0
-2.3756 2.3756 13.4495
2.3756 -2.3756 13.4495
2.3756 2.3756 -13.4495
Ce Pr Bi O
4 2 3 2
Direct
0.0853 0.5853 0.5000
0.4147 0.9147 0.5000
0.5853 0.0853 0.5000
0.9147 0.4147 0.5000
0.1977 0.1977 0.0000
0.8023 0.8023 0.0000
0.3221 0.3221 0.0000
0.5000 0.5000 0.0000
0.6779 0.6779 0.0000
0.0993 0.0993 0.0000
0.9006 0.9006 0.0000
```

Values from the calculation:
The formation energy (no corrections) comes out at -141.3 kJ per mole of atoms. As for the space-group type: I4/mmm (139).


[16]
VASP calculation (PBE) on an optimized crystal structure of Ce2Pu2Bi2O.

```
Ce2Pu2Bi2O
1.0
-2.3771 2.3771 8.4059
2.3771 -2.3771 8.4059
2.3771 2.3771 -8.4059
Ce Pu Bi O
2 2 2 1
Direct
0.1612 0.1612 0.0000
0.8388 0.8388 0.0000
0.0000 0.5000 0.5000
0.5000 0.0000 0.5000
0.3565 0.3565 0.0000
0.6435 0.6435 0.0000
0.0000 0.0000 0.0000
```

Values from the calculation:
The formation energy (no corrections) comes out at -103.8 kJ per mole of atoms. As for the space-group type: I4/mmm (139).


[17]
VASP calculation (PBE) on an optimized crystal structure of CePuBiO6.

```
CePuBiO6
1.0
5.9251 0.0000 0.0000
-2.9625 5.1313 0.0000
0.0000 0.0000 9.4029
Ce Pu Bi O
2 2 2 12
Direct
0.3333 0.6667 0.2500
0.6667 0.3333 0.7500
0.3333 0.6667 0.7500
0.6667 0.3333 0.2500
0.0000 0.0000 0.0000
0.0000 0.0000 0.5000
0.0181 0.3575 0.6359
0.0181 0.6606 0.8641
0.3394 0.3575 0.8641
0.3394 0.9819 0.6359
0.3575 0.0181 0.1359
0.3575 0.3394 0.3641
0.6425 0.6606 0.6359
0.6425 0.9819 0.8641
0.6606 0.0181 0.3641
0.6606 0.6425 0.1359
0.9819 0.3394 0.1359
0.9819 0.6425 0.3641
```

Values from the calculation:
The formation energy (no corrections) comes out at -236.2 kJ per mole of atoms. As for the space-group type: P-31c (163).


[18]
VASP calculation (PBE) on an optimized crystal structure of Ce5Bi2RuO.

```
Ce5Bi2RuO
1.0
4.6178 0.0000 0.0000
0.0000 4.6178 0.0000
0.0000 0.0000 11.7030
Ce Bi Ru O
5 2 1 1
Direct
0.0000 0.0000 0.0000
0.0000 0.5000 0.5000
0.5000 0.0000 0.5000
0.5000 0.5000 0.2137
0.5000 0.5000 0.7863
0.0000 0.0000 0.2868
0.0000 0.0000 0.7132
0.5000 0.5000 0.0000
0.5000 0.5000 0.5000
```

Values from the calculation:
The formation energy (no corrections) comes out at -92.5 kJ per mole of atoms. As for the space-group type: P4/mmm (123).


[19]
VASP calculation (PBE) on an optimized crystal structure of CeBiRuO6.

```
CeBiRuO6
1.0
5.5943 0.0000 0.0000
-2.7971 4.8448 0.0000
0.0000 0.0000 9.6937
Ce Bi Ru O
2 2 2 12
Direct
0.3333 0.6667 0.2500
0.6667 0.3333 0.7500
0.0000 0.0000 0.0000
0.0000 0.0000 0.5000
0.3333 0.6667 0.7500
0.6667 0.3333 0.2500
0.0363 0.3732 0.6364
0.0363 0.6631 0.8636
0.3369 0.3732 0.8636
0.3369 0.9637 0.6364
0.3732 0.0363 0.1364
0.3732 0.3369 0.3636
0.6268 0.6631 0.6364
0.6268 0.9637 0.8636
0.6631 0.0363 0.3636
0.6631 0.6268 0.1364
0.9637 0.3369 0.1364
0.9637 0.6268 0.3636
```

Values from the calculation:
The formation energy (no corrections) comes out at -169.0 kJ per mole of atoms. As for the space-group type: P-31c (163).


[20]
VASP calculation (PBE) on an optimized crystal structure of CeBiS2O.

```
CeBiS2O
1.0
4.0092 0.0000 0.0000
0.0000 4.0092 0.0000
0.0000 0.0000 13.7211
Ce Bi S O
2 2 4 2
Direct
0.2500 0.2500 0.0906
0.7500 0.7500 0.9094
0.2500 0.2500 0.6237
0.7500 0.7500 0.3763
0.2500 0.2500 0.3887
0.2500 0.2500 0.8143
0.7500 0.7500 0.1857
0.7500 0.7500 0.6113
0.2500 0.7500 0.0000
0.7500 0.2500 0.0000
```

Values from the calculation:
The formation energy (no corrections) comes out at -164.3 kJ per mole of atoms. As for the space-group type: P4/nmm (129).


[21]
VASP calculation (PBE) on an optimized crystal structure of Ce5Bi2SbO.

```
Ce5Bi2SbO
1.0
4.7045 0.0000 0.0000
0.0000 4.7045 0.0000
0.0000 0.0000 11.6881
Ce Bi Sb O
5 2 1 1
Direct
0.0000 0.0000 0.0000
0.0000 0.5000 0.5000
0.5000 0.0000 0.5000
0.5000 0.5000 0.2664
0.5000 0.5000 0.7336
0.0000 0.0000 0.2886
0.0000 0.0000 0.7114
0.5000 0.5000 0.0000
0.5000 0.5000 0.5000
```

Values from the calculation:
The formation energy (no corrections) comes out at -113.6 kJ per mole of atoms. As for the space-group type: P4/mmm (123).


[22]
VASP calculation (PBE) on an optimized crystal structure of Ce2ScBi2O2.

```
Ce2ScBi2O2
1.0
-2.1180 2.1180 8.3469
2.1180 -2.1180 8.3469
2.1180 2.1180 -8.3469
Ce Sc Bi O
2 1 2 2
Direct
0.1033 0.1033 0.0000
0.8967 0.8967 0.0000
0.5000 0.5000 0.0000
0.3134 0.3134 0.0000
0.6866 0.6866 0.0000
0.0000 0.5000 0.5000
0.5000 0.0000 0.5000
```

Values from the calculation:
The formation energy (no corrections) comes out at -181.5 kJ per mole of atoms. As for the space-group type: I4/mmm (139).


[23]
VASP calculation (PBE) on an optimized crystal structure of Ce5Bi2SeO.

```
Ce5Bi2SeO
1.0
4.6601 0.0000 0.0000
0.0000 4.6601 0.0000
0.0000 0.0000 11.4953
Ce Bi Se O
5 2 1 1
Direct
0.0000 0.0000 0.0000
0.0000 0.5000 0.5000
0.5000 0.0000 0.5000
0.5000 0.5000 0.2541
0.5000 0.5000 0.7459
0.0000 0.0000 0.2860
0.0000 0.0000 0.7140
0.5000 0.5000 0.0000
0.5000 0.5000 0.5000
```

Values from the calculation:
The formation energy (no corrections) comes out at -126.2 kJ per mole of atoms. As for the space-group type: P4/mmm (123).